(1)
! Pm6Er2Tm, relaxed, DFT GGA-PBE; values from VASP
! ΔH_f (0 K) = 0.085 eV/atom
! final energy = -82.67 eV/cell
! energy above the most stable polymorph in this dataset = 0.0000 eV/atom
&SYSTEM
  ibrav = 0, nat = 18, ntyp = 3
/
ATOMIC_SPECIES
Pm 145.00 Pm.upf
Er 167.26 Er.upf
Tm 168.93 Tm.upf
CELL_PARAMETERS angstrom
6.209 -0.133 -0.129
1.099 9.892 1.389
1.099 1.709 9.842
ATOMIC_POSITIONS crystal
Pm 0.487 0.689 0.406
Pm 0.987 0.406 0.689
Er 0.083 0.234 0.432
Er 0.917 0.766 0.568
Pm 0.013 0.594 0.311
Tm 0.750 0.901 0.099
Pm 0.320 0.740 0.022
Pm 0.680 0.260 0.978
Pm 0.847 0.645 0.927
Pm 0.347 0.927 0.645
Pm 0.153 0.355 0.073
Pm 0.653 0.073 0.355
Er 0.417 0.568 0.766
Er 0.583 0.432 0.234
Pm 0.513 0.311 0.594
Pm 0.180 0.978 0.260
Tm 0.250 0.099 0.901
Pm 0.820 0.022 0.740

***

(2)
! Pm2Er3Tm2, relaxed, DFT GGA-PBE; values from VASP
! ΔH_f (0 K) = 0.022 eV/atom
! final energy = -31.98 eV/cell
! energy above the most stable polymorph in this dataset = 0.0000 eV/atom
&SYSTEM
  ibrav = 0, nat = 7, ntyp = 3
/
ATOMIC_SPECIES
Tm 168.93 Tm.upf
Er 167.26 Er.upf
Pm 145.00 Pm.upf
CELL_PARAMETERS angstrom
5.012 0.000 0.000
-2.506 5.553 0.603
0.000 -1.969 7.678
ATOMIC_POSITIONS crystal
Tm 0.214 0.428 0.143
Er 0.500 0.000 0.000
Pm 0.072 0.143 0.716
Tm 0.786 0.572 0.857
Er 0.357 0.714 0.572
Pm 0.928 0.857 0.284
Er 0.643 0.286 0.428

***

(3)
! Pm4Er3Tm2, relaxed, DFT GGA-PBE; values from VASP
! ΔH_f (0 K) = 0.092 eV/atom
! final energy = -81.60 eV/cell
! energy above the most stable polymorph in this dataset = 0.0698 eV/atom
&SYSTEM
  ibrav = 0, nat = 18, ntyp = 3
/
ATOMIC_SPECIES
Tm 168.93 Tm.upf
Er 167.26 Er.upf
Pm 145.00 Pm.upf
CELL_PARAMETERS angstrom
-0.619 -5.591 -2.000
8.630 -3.539 4.075
-1.863 -4.172 9.095
ATOMIC_POSITIONS crystal
Tm 0.797 0.292 0.504
Er 0.080 0.983 0.679
Er 0.580 0.679 0.983
Er 0.420 0.321 0.017
Pm 0.615 0.837 0.616
Pm 0.046 0.824 0.048
Er 0.920 0.017 0.321
Tm 0.703 0.496 0.708
Er 0.750 0.650 0.350
Tm 0.203 0.708 0.496
Pm 0.885 0.384 0.163
Tm 0.297 0.504 0.292
Pm 0.546 0.048 0.824
Er 0.250 0.350 0.650
Pm 0.954 0.176 0.952
Pm 0.115 0.616 0.837
Pm 0.454 0.952 0.176
Pm 0.385 0.163 0.384

***

(4)
! Pm3Er3Tm5, relaxed, DFT GGA-PBE; values from VASP
! ΔH_f (0 K) = 0.831 eV/atom
! final energy = -41.16 eV/cell
&SYSTEM
  ibrav = 0, nat = 11, ntyp = 3
/
ATOMIC_SPECIES
Er 167.26 Er.upf
Tm 168.93 Tm.upf
Pm 145.00 Pm.upf
CELL_PARAMETERS angstrom
5.391 0.000 0.000
0.000 9.595 0.000
0.000 -4.798 8.310
ATOMIC_POSITIONS crystal
Er 0.000 0.447 0.447
Tm 0.500 0.000 0.738
Tm 0.500 0.262 0.262
Tm 0.500 0.667 0.333
Pm 0.500 0.369 0.000
Er 0.000 0.553 0.000
Pm 0.500 0.000 0.369
Tm 0.500 0.333 0.667
Pm 0.500 0.631 0.631
Tm 0.500 0.738 0.000
Er 0.000 0.000 0.553

***

(5)
! Pm5ErTm2, relaxed, DFT GGA-PBE; values from VASP
! ΔH_f (0 K) = 0.113 eV/atom
! final energy = -72.71 eV/cell
! energy above the most stable polymorph in this dataset = 0.0464 eV/atom
&SYSTEM
  ibrav = 0, nat = 16, ntyp = 3
/
ATOMIC_SPECIES
Pm 145.00 Pm.upf
Er 167.26 Er.upf
Tm 168.93 Tm.upf
CELL_PARAMETERS angstrom
-2.504 1.070 8.749
-8.388 -3.084 -2.023
7.308 -4.878 -2.110
ATOMIC_POSITIONS crystal
Pm 0.686 0.186 0.673
Er 0.250 0.250 0.500
Tm 0.855 0.645 0.000
Pm 0.013 0.513 0.327
Tm 0.145 0.355 0.000
Pm 0.186 0.987 0.673
Pm 0.814 0.013 0.327
Pm 0.314 0.814 0.327
Pm 0.000 0.000 0.000
Tm 0.355 0.855 0.000
Pm 0.500 0.500 0.000
Tm 0.645 0.145 0.000
Pm 0.987 0.487 0.673
Er 0.750 0.750 0.500
Pm 0.487 0.686 0.673
Pm 0.513 0.314 0.327

***

(6)
! Pm2Er2Tm, relaxed, DFT GGA-PBE; values from VASP
! ΔH_f (0 K) = 0.232 eV/atom
! final energy = -43.88 eV/cell
! energy above the most stable polymorph in this dataset = 0.2053 eV/atom
&SYSTEM
  ibrav = 0, nat = 10, ntyp = 3
/
ATOMIC_SPECIES
Pm 145.00 Pm.upf
Er 167.26 Er.upf
Tm 168.93 Tm.upf
CELL_PARAMETERS angstrom
-1.400 1.070 5.524
-3.772 -1.913 -3.629
2.860 -11.083 2.871
ATOMIC_POSITIONS crystal
Pm 0.044 0.088 0.636
Er 0.698 0.397 0.658
Tm 0.357 0.713 0.495
Pm 0.336 0.673 0.812
Er 0.302 0.603 0.158
Er 0.985 0.970 0.884
Er 0.015 0.030 0.384
Tm 0.643 0.287 0.995
Pm 0.664 0.327 0.312
Pm 0.956 0.912 0.136

***

(7)
! Pm2ErTm8, relaxed, DFT GGA-PBE; values from VASP
! ΔH_f (0 K) = 0.120 eV/atom
! final energy = -48.52 eV/cell
! energy above the most stable polymorph in this dataset = 0.0941 eV/atom
&SYSTEM
  ibrav = 0, nat = 11, ntyp = 3
/
ATOMIC_SPECIES
Tm 168.93 Tm.upf
Pm 145.00 Pm.upf
Er 167.26 Er.upf
CELL_PARAMETERS angstrom
5.221 0.000 -1.585
-0.978 7.237 -3.221
-0.030 -0.274 9.293
ATOMIC_POSITIONS crystal
Tm 0.638 0.428 0.276
Tm 0.362 0.572 0.724
Pm 0.799 0.298 0.598
Tm 0.000 0.709 0.000
Tm 0.363 0.154 0.726
Tm 0.637 0.846 0.274
Tm 0.000 0.291 0.000
Tm 0.840 0.841 0.680
Er 0.500 0.000 0.000
Pm 0.201 0.702 0.402
Tm 0.160 0.159 0.320

***

(8)
! Pm2Er7Tm4, relaxed, DFT GGA-PBE; values from VASP
! ΔH_f (0 K) = 0.197 eV/atom
! final energy = -56.76 eV/cell
&SYSTEM
  ibrav = 0, nat = 13, ntyp = 3
/
ATOMIC_SPECIES
Tm 168.93 Tm.upf
Pm 145.00 Pm.upf
Er 167.26 Er.upf
CELL_PARAMETERS angstrom
-5.559 -1.362 1.819
1.662 -1.105 -5.664
4.125 -12.073 3.566
ATOMIC_POSITIONS crystal
Tm 0.000 0.000 0.395
Pm 0.667 0.333 0.000
Tm 0.333 0.667 0.500
Tm 0.667 0.333 0.500
Er 0.351 0.351 0.783
Er 0.649 0.649 0.217
Er 0.000 0.000 0.000
Pm 0.333 0.667 0.000
Er 0.000 0.351 0.217
Er 0.351 0.000 0.217
Tm 0.000 0.000 0.605
Er 0.649 0.000 0.783
Er 0.000 0.649 0.783

***

> Which value of final energy does entry 5 give?

-72.71 eV/cell